No. 1
# PuTlSeO6

A relaxed PuTlSeO6 crystal (GGA-PBE, the Alexandria database).

Calculated values
Formation energy (no corrections) ... -13.71 eV/f.u.
Symmetry ... P1, No. 1
Mass density ... 5.68 Mg/m³

a b c (Å): 5.716 5.932 6.108
angles (deg): 118.42 90.08 91.04
Positions (direct):
1 Pu 0.000 0.000 0.000
2 Tl 0.501 0.371 0.690
3 Se 0.022 0.592 0.246
4 O 0.192 0.693 0.072
5 O 0.197 0.360 0.271
6 O 0.206 0.973 0.762
7 O 0.796 0.751 0.756
8 O 0.812 0.031 0.252
9 O 0.830 0.366 0.022


No. 2
# TmPuSeO2

A relaxed TmPuSeO2 crystal (GGA-PBE, the Alexandria database).

Calculated values
Formation energy (no corrections) ... -13.96 eV/f.u.
Symmetry ... I4mm, No. 107
Mass density ... 9.83 Mg/m³

a b c (Å): 6.653 6.653 6.653
angles (deg): 146.69 146.69 47.82
Positions (direct):
1 Tm 0.000 0.000 0.000
2 Pu 0.304 0.304 0.000
3 Se 0.657 0.657 0.000
4 O 0.412 0.912 0.500
5 O 0.912 0.412 0.500


No. 3
# PuUSeO2

A relaxed PuUSeO2 crystal (GGA-PBE, the Alexandria database).

Calculated values
Formation energy (no corrections) ... -12.08 eV/f.u.
Symmetry ... I4mm, No. 107
Mass density ... 10.89 Mg/m³

a b c (Å): 6.732 6.732 6.732
angles (deg): 146.95 146.95 47.44
Positions (direct):
1 Pu 0.000 0.000 0.000
2 U 0.291 0.291 0.000
3 Se 0.641 0.641 0.000
4 O 0.385 0.885 0.500
5 O 0.885 0.385 0.500


No. 4
# YPuSe2O

A relaxed YPuSe2O crystal (GGA-PBE, the Alexandria database).

Calculated values
Formation energy (no corrections) ... -10.99 eV/f.u.
Symmetry ... P4/nmm, No. 129
Mass density ... 7.37 Mg/m³

a b c (Å): 3.985 3.985 14.383
angles (deg): 90.00 90.00 90.00
Positions (direct):
1 Y 0.250 0.250 0.123
2 Y 0.750 0.750 0.877
3 Pu 0.250 0.250 0.582
4 Pu 0.750 0.750 0.418
5 Se 0.250 0.250 0.311
6 Se 0.250 0.250 0.909
7 Se 0.750 0.750 0.091
8 Se 0.750 0.750 0.689
9 O 0.250 0.750 0.500
10 O 0.750 0.250 0.500


No. 5
# YPuSeO2

A relaxed YPuSeO2 crystal (GGA-PBE, the Alexandria database).

Calculated values
Formation energy (no corrections) ... -13.79 eV/f.u.
Symmetry ... I4mm, No. 107
Mass density ... 8.11 Mg/m³

a b c (Å): 6.710 6.710 6.710
angles (deg): 146.66 146.66 47.87
Positions (direct):
1 Y 0.000 0.000 0.000
2 Pu 0.304 0.304 0.000
3 Se 0.655 0.655 0.000
4 O 0.407 0.907 0.500
5 O 0.907 0.407 0.500


No. 6
# PuSiO3

A relaxed PuSiO3 crystal (GGA-PBE, the Alexandria database).

Calculated values
Formation energy (no corrections) ... -12.64 eV/f.u.
Symmetry ... Pnma, No. 62
Mass density ... 8.27 Mg/m³

a b c (Å): 4.556 10.799 5.226
angles (deg): 90.00 90.00 90.00
Positions (direct):
1 Pu 0.000 0.000 0.000
2 Pu 0.000 0.500 0.000
3 Pu 0.500 0.000 0.500
4 Pu 0.500 0.500 0.500
5 Si 0.062 0.250 0.439
6 Si 0.438 0.750 0.939
7 Si 0.562 0.250 0.061
8 Si 0.938 0.750 0.561
9 O 0.009 0.619 0.425
10 O 0.009 0.881 0.425
11 O 0.077 0.750 0.862
12 O 0.423 0.250 0.362
13 O 0.491 0.119 0.925
14 O 0.491 0.381 0.925
15 O 0.509 0.619 0.075
16 O 0.509 0.881 0.075
17 O 0.577 0.750 0.638
18 O 0.923 0.250 0.138
19 O 0.991 0.119 0.575
20 O 0.991 0.381 0.575


No. 7
# Pu2SiO10

A relaxed Pu2SiO10 crystal (GGA-PBE, the Alexandria database).

Calculated values
Formation energy (no corrections) ... -25.93 eV/f.u.
Symmetry ... I4_1/amd, No. 141
Mass density ... 4.89 Mg/m³

a b c (Å): 10.415 10.415 10.415
angles (deg): 140.20 140.20 57.54
Positions (direct):
1 Pu 0.049 0.299 0.750
2 Pu 0.299 0.049 0.250
3 Pu 0.701 0.951 0.750
4 Pu 0.951 0.701 0.250
5 Si 0.125 0.875 0.250
6 Si 0.875 0.125 0.750
7 O 0.012 0.935 0.077
8 O 0.065 0.642 0.077
9 O 0.065 0.988 0.423
10 O 0.150 0.400 0.750
11 O 0.209 0.708 0.500
12 O 0.292 0.292 0.000
13 O 0.292 0.292 0.500
14 O 0.292 0.791 0.000
15 O 0.358 0.935 0.423
16 O 0.400 0.150 0.250
17 O 0.600 0.850 0.750
18 O 0.642 0.065 0.577
19 O 0.708 0.209 0.000
20 O 0.708 0.708 0.000
21 O 0.708 0.708 0.500
22 O 0.791 0.292 0.500
23 O 0.850 0.600 0.250
24 O 0.935 0.012 0.577
25 O 0.935 0.358 0.923
26 O 0.988 0.065 0.923


No. 8
# Pu4Si2O

A relaxed Pu4Si2O crystal (GGA-PBE, the Alexandria database).

Calculated values
Formation energy (no corrections) ... -5.77 eV/f.u.
Symmetry ... I4/mmm, No. 139
Mass density ... 10.87 Mg/m³

a b c (Å): 8.379 8.379 8.379
angles (deg): 148.49 148.49 45.16
Positions (direct):
1 Pu 0.000 0.500 0.500
2 Pu 0.181 0.181 0.000
3 Pu 0.500 0.000 0.500
4 Pu 0.819 0.819 0.000
5 Si 0.368 0.368 0.000
6 Si 0.632 0.632 0.000
7 O 0.000 0.000 0.000


No. 9
# PuSiO3

A relaxed PuSiO3 crystal (GGA-PBE, the Alexandria database).

Calculated values
Formation energy (no corrections) ... -12.88 eV/f.u.
Symmetry ... C2/c, No. 15
Mass density ... 7.32 Mg/m³

a b c (Å): 6.868 6.868 11.463
angles (deg): 108.16 108.16 59.65
Positions (direct):
1 Pu 0.000 0.500 0.500
2 Pu 0.159 0.686 0.999
3 Pu 0.314 0.841 0.501
4 Pu 0.500 0.000 0.000
5 Pu 0.686 0.159 0.499
6 Pu 0.841 0.314 0.001
7 Si 0.085 0.176 0.755
8 Si 0.176 0.085 0.255
9 Si 0.344 0.656 0.750
10 Si 0.656 0.344 0.250
11 Si 0.824 0.915 0.745
12 Si 0.915 0.824 0.245
13 O 0.040 0.245 0.623
14 O 0.084 0.686 0.748
15 O 0.130 0.328 0.891
16 O 0.146 0.854 0.250
17 O 0.245 0.040 0.123
18 O 0.314 0.916 0.752
19 O 0.328 0.130 0.391
20 O 0.407 0.503 0.615
21 O 0.497 0.593 0.885
22 O 0.503 0.407 0.115
23 O 0.593 0.497 0.385
24 O 0.672 0.870 0.609
25 O 0.686 0.084 0.248
26 O 0.755 0.960 0.877
27 O 0.854 0.146 0.750
28 O 0.870 0.672 0.109
29 O 0.916 0.314 0.252
30 O 0.960 0.755 0.377


No. 10
# PuSi2O6

A relaxed PuSi2O6 crystal (GGA-PBE, the Alexandria database).

Calculated values
Formation energy (no corrections) ... -25.13 eV/f.u.
Symmetry ... C2/c, No. 15
Mass density ... 5.15 Mg/m³

a b c (Å): 7.014 7.014 5.467
angles (deg): 103.00 103.00 87.08
Positions (direct):
1 Pu 0.121 0.879 0.750
2 Pu 0.879 0.121 0.250
3 Si 0.225 0.376 0.769
4 Si 0.376 0.225 0.269
5 Si 0.624 0.775 0.731
6 Si 0.775 0.624 0.231
7 O 0.066 0.190 0.662
8 O 0.118 0.589 0.801
9 O 0.190 0.066 0.162
10 O 0.352 0.359 0.546
11 O 0.359 0.352 0.046
12 O 0.411 0.882 0.699
13 O 0.589 0.118 0.301
14 O 0.641 0.648 0.954
15 O 0.648 0.641 0.454
16 O 0.810 0.934 0.838
17 O 0.882 0.411 0.199
18 O 0.934 0.810 0.338


No. 11
# PuSiO2

A relaxed PuSiO2 crystal (GGA-PBE, the Alexandria database).

Calculated values
Formation energy (no corrections) ... -6.00 eV/f.u.
Symmetry ... R-3m, No. 166
Mass density ... 8.00 Mg/m³

a b c (Å): 10.421 10.421 10.421
angles (deg): 14.66 14.66 14.66
Positions (direct):
1 Pu 0.000 0.000 0.000
2 Si 0.500 0.500 0.500
3 O 0.137 0.137 0.137
4 O 0.863 0.863 0.863


No. 12
# Pu2SiO

A relaxed Pu2SiO crystal (GGA-PBE, the Alexandria database).

Calculated values
Formation energy (no corrections) ... -4.41 eV/f.u.
Symmetry ... R3m, No. 160
Mass density ... 11.38 Mg/m³

a b c (Å): 7.495 7.495 7.495
angles (deg): 27.20 27.20 27.20
Positions (direct):
1 Pu 0.000 0.000 0.000
2 Pu 0.146 0.146 0.146
3 Si 0.573 0.573 0.573
4 O 0.390 0.390 0.390


No. 13
# SmPuSi2O8

A relaxed SmPuSi2O8 crystal (GGA-PBE, the Alexandria database).

Calculated values
Formation energy (no corrections) ... -34.63 eV/f.u.
Symmetry ... I-4m2, No. 119
Mass density ... 6.26 Mg/m³

a b c (Å): 5.861 5.861 5.861
angles (deg): 106.40 106.40 115.81
Positions (direct):
1 Sm 0.000 0.000 0.000
2 Pu 0.750 0.250 0.500
3 Si 0.250 0.750 0.500
4 Si 0.500 0.500 0.000
5 O 0.074 0.400 0.326
6 O 0.074 0.748 0.674
7 O 0.151 0.335 0.816
8 O 0.252 0.926 0.326
9 O 0.519 0.335 0.184
10 O 0.600 0.926 0.674
11 O 0.665 0.481 0.816
12 O 0.665 0.849 0.184


No. 14
# SrPuSi2O8

A relaxed SrPuSi2O8 crystal (GGA-PBE, the Alexandria database).

Calculated values
Formation energy (no corrections) ... -30.68 eV/f.u.
Symmetry ... I-4m2, No. 119
Mass density ... 5.42 Mg/m³

a b c (Å): 5.920 5.920 5.920
angles (deg): 106.12 106.12 116.40
Positions (direct):
1 Sr 0.000 0.000 0.000
2 Pu 0.250 0.750 0.500
3 Si 0.500 0.500 0.000
4 Si 0.750 0.250 0.500
5 O 0.345 0.155 0.810
6 O 0.345 0.536 0.190
7 O 0.402 0.070 0.332
8 O 0.464 0.655 0.810
9 O 0.738 0.070 0.668
10 O 0.845 0.655 0.190
11 O 0.930 0.262 0.332
12 O 0.930 0.598 0.668


No. 15
# SrPuSiO6

A relaxed SrPuSiO6 crystal (GGA-PBE, the Alexandria database).

Calculated values
Formation energy (no corrections) ... -23.68 eV/f.u.
Symmetry ... P-31c, No. 163
Mass density ... 5.98 Mg/m³

a b c (Å): 5.214 5.214 10.755
angles (deg): 90.00 90.00 120.00
Positions (direct):
1 Sr 0.000 0.000 0.000
2 Sr 0.000 0.000 0.500
3 Pu 0.333 0.667 0.250
4 Pu 0.667 0.333 0.750
5 Si 0.333 0.667 0.750
6 Si 0.667 0.333 0.250
7 O 0.038 0.391 0.653
8 O 0.038 0.646 0.847
9 O 0.354 0.391 0.847
10 O 0.354 0.962 0.653
11 O 0.391 0.038 0.153
12 O 0.391 0.354 0.347
13 O 0.609 0.646 0.653
14 O 0.609 0.962 0.847
15 O 0.646 0.038 0.347
16 O 0.646 0.609 0.153
17 O 0.962 0.354 0.153
18 O 0.962 0.609 0.347


No. 16
# TbPuSi2O8

A relaxed TbPuSi2O8 crystal (GGA-PBE, the Alexandria database).

Calculated values
Formation energy (no corrections) ... -34.94 eV/f.u.
Symmetry ... I-4m2, No. 119
Mass density ... 6.49 Mg/m³

a b c (Å): 5.816 5.816 5.816
angles (deg): 106.50 106.50 115.58
Positions (direct):
1 Tb 0.000 0.000 0.000
2 Pu 0.750 0.250 0.500
3 Si 0.250 0.750 0.500
4 Si 0.500 0.500 0.000
5 O 0.075 0.398 0.323
6 O 0.075 0.751 0.677
7 O 0.148 0.332 0.816
8 O 0.249 0.925 0.323
9 O 0.515 0.332 0.184
10 O 0.602 0.925 0.677
11 O 0.668 0.485 0.816
12 O 0.668 0.852 0.184


No. 17
# PuTl2SiO6

A relaxed PuTl2SiO6 crystal (GGA-PBE, the Alexandria database).

Calculated values
Formation energy (no corrections) ... -18.30 eV/f.u.
Symmetry ... I4/mmm, No. 139
Mass density ... 8.19 Mg/m³

a b c (Å): 6.435 6.435 6.435
angles (deg): 128.81 128.81 75.31
Positions (direct):
1 Pu 0.000 0.000 0.000
2 Tl 0.250 0.750 0.500
3 Tl 0.750 0.250 0.500
4 Si 0.500 0.500 0.000
5 O 0.185 0.185 0.000
6 O 0.284 0.284 0.567
7 O 0.284 0.716 0.000
8 O 0.716 0.284 0.000
9 O 0.716 0.716 0.433
10 O 0.815 0.815 0.000


No. 18
# PuTlSiO6

A relaxed PuTlSiO6 crystal (GGA-PBE, the Alexandria database).

Calculated values
Formation energy (no corrections) ... -17.94 eV/f.u.
Symmetry ... P312, No. 149
Mass density ... 6.58 Mg/m³

a b c (Å): 5.132 5.132 6.338
angles (deg): 90.00 90.00 120.00
Positions (direct):
1 Pu 0.000 0.000 0.000
2 Tl 0.667 0.333 0.500
3 Si 0.333 0.667 0.000
4 O 0.055 0.364 0.164
5 O 0.055 0.691 0.836
6 O 0.309 0.364 0.836
7 O 0.309 0.945 0.164
8 O 0.636 0.691 0.164
9 O 0.636 0.945 0.836


No. 19
# TmPuSi2O8

A relaxed TmPuSi2O8 crystal (GGA-PBE, the Alexandria database).

Calculated values
Formation energy (no corrections) ... -35.14 eV/f.u.
Symmetry ... I-4m2, No. 119
Mass density ... 6.76 Mg/m³

a b c (Å): 5.771 5.771 5.771
angles (deg): 106.62 106.62 115.34
Positions (direct):
1 Tm 0.000 0.000 0.000
2 Pu 0.750 0.250 0.500
3 Si 0.250 0.750 0.500
4 Si 0.500 0.500 0.000
5 O 0.075 0.396 0.320
6 O 0.075 0.755 0.680
7 O 0.145 0.328 0.817
8 O 0.245 0.925 0.320
9 O 0.511 0.328 0.183
10 O 0.604 0.925 0.680
11 O 0.672 0.489 0.817
12 O 0.672 0.855 0.183


No. 20
# YPuSi2O8

A relaxed YPuSi2O8 crystal (GGA-PBE, the Alexandria database).

Calculated values
Formation energy (no corrections) ... -34.85 eV/f.u.
Symmetry ... I-4m2, No. 119
Mass density ... 5.74 Mg/m³

a b c (Å): 5.810 5.810 5.810
angles (deg): 106.53 106.53 115.52
Positions (direct):
1 Y 0.000 0.000 0.000
2 Pu 0.750 0.250 0.500
3 Si 0.250 0.750 0.500
4 Si 0.500 0.500 0.000
5 O 0.075 0.398 0.323
6 O 0.075 0.752 0.677
7 O 0.148 0.331 0.817
8 O 0.248 0.925 0.323
9 O 0.515 0.331 0.183
10 O 0.602 0.925 0.677
11 O 0.669 0.485 0.817
12 O 0.669 0.852 0.183